{"formula": "Ca3Hg4Au4", "functional": "PBE-GGA", "state": "relaxed", "ef_mev_per_atom": -505, "de_polymorph_ev_per_atom": 0.000, "n_ef_per_ev_cell": 4.00, "sg": "Immm, No. 71", "energy_ev_per_cell": -25.9, "lattice": [[-2.0523, 4.0288, 8.1927], [2.0523, -4.0288, 8.1927], [2.0523, 4.0288, -8.1927]], "species": ["Ca", "Ca", "Ca", "Hg", "Hg", "Hg", "Hg", "Au", "Au", "Au", "Au"], "frac_coords": [[0.0000, 0.0000, 0.0000], [0.3821, 0.8821, 0.5000], [0.6179, 0.1179, 0.5000], [0.0319, 0.3383, 0.6936], [0.3553, 0.6617, 0.6936], [0.6447, 0.3383, 0.3064], [0.9681, 0.6617, 0.3064], [0.2428, 0.2428, 0.0000], [0.3198, 0.5000, 0.8198], [0.6802, 0.5000, 0.1802], [0.7572, 0.7572, 0.0000]]}

---

{"formula": "Ca7Hg2Au2", "functional": "PBE-GGA", "state": "relaxed", "ef_mev_per_atom": -428, "de_polymorph_ev_per_atom": 0.112, "n_ef_per_ev_cell": 8.32, "sg": "Cmmm, No. 65", "energy_ev_per_cell": -25.9, "lattice": [[4.2589, -5.7090, 0.0000], [4.2589, 5.7090, 0.0000], [0.0000, 0.0000, 7.3951]], "species": ["Ca", "Ca", "Ca", "Ca", "Ca", "Ca", "Ca", "Hg", "Hg", "Au", "Au"], "frac_coords": [[0.0000, 0.0000, 0.0000], [0.0000, 0.5000, 0.2657], [0.0000, 0.5000, 0.7343], [0.5000, 0.0000, 0.2657], [0.5000, 0.0000, 0.7343], [0.5000, 0.5000, 0.2510], [0.5000, 0.5000, 0.7490], [0.1795, 0.1795, 0.5000], [0.8205, 0.8205, 0.5000], [0.2865, 0.7135, 0.0000], [0.7135, 0.2865, 0.0000]]}

---

{"formula": "CaHg2Au", "functional": "PBE-GGA", "state": "relaxed", "ef_mev_per_atom": -408, "n_ef_per_ev_cell": 1.32, "sg": "P4mm, No. 99", "energy_ev_per_cell": -7.5, "lattice": [[3.8004, 0.0000, 0.0000], [0.0000, 3.8004, 0.0000], [0.0000, 0.0000, 6.6760]], "species": ["Ca", "Hg", "Hg", "Au"], "frac_coords": [[0.0000, 0.0000, 0.0000], [0.0000, 0.0000, 0.5259], [0.5000, 0.5000, 0.2788], [0.5000, 0.5000, 0.7712]]}

---

{"formula": "CaHg2Au", "functional": "PBE-GGA", "state": "relaxed", "ef_mev_per_atom": -412, "n_ef_per_ev_cell": 1.67, "sg": "P2/m, No. 10", "energy_ev_per_cell": -7.5, "lattice": [[4.4712, 0.0000, 0.0000], [0.0000, 4.4455, 0.0000], [-0.0363, 0.0000, 4.8210]], "species": ["Ca", "Hg", "Hg", "Au"], "frac_coords": [[0.0000, 0.0000, 0.0000], [0.0000, 0.5000, 0.5000], [0.5000, 0.0000, 0.5000], [0.5000, 0.5000, 0.0000]]}

---

{"formula": "CaHg4Au", "functional": "PBE-GGA", "state": "relaxed", "ef_mev_per_atom": -283, "de_polymorph_ev_per_atom": 0.000, "n_ef_per_ev_cell": 4.58, "sg": "Cmc2_1, No. 36", "energy_ev_per_cell": -16.4, "lattice": [[2.5467, -8.4377, 0.0000], [2.5467, 8.4377, 0.0000], [0.0000, 0.0000, 7.0269]], "species": ["Ca", "Ca", "Hg", "Hg", "Hg", "Hg", "Hg", "Hg", "Hg", "Hg", "Au", "Au"], "frac_coords": [[0.1684, 0.8316, 0.5000], [0.8316, 0.1684, 0.0000], [0.0176, 0.9824, 0.8383], [0.1975, 0.8025, 0.9660], [0.3616, 0.6384, 0.6805], [0.4653, 0.5347, 0.0560], [0.5347, 0.4653, 0.5560], [0.6384, 0.3616, 0.1805], [0.8025, 0.1975, 0.4660], [0.9824, 0.0176, 0.3383], [0.3177, 0.6823, 0.2588], [0.6823, 0.3177, 0.7588]]}

---

{"formula": "CaHg2Au6", "functional": "PBE-GGA", "state": "relaxed", "ef_mev_per_atom": -172, "n_ef_per_ev_cell": 2.23, "sg": "Immm, No. 71", "energy_ev_per_cell": -23.8, "lattice": [[-1.7434, 3.8969, 7.1396], [1.7434, -3.8969, 7.1396], [1.7434, 3.8969, -7.1396]], "species": ["Ca", "Hg", "Hg", "Au", "Au", "Au", "Au", "Au", "Au"], "frac_coords": [[0.0000, 0.0000, 0.0000], [0.3534, 0.8534, 0.5000], [0.6466, 0.1466, 0.5000], [0.0026, 0.3251, 0.6775], [0.3201, 0.5000, 0.8201], [0.3524, 0.6749, 0.6775], [0.6476, 0.3251, 0.3225], [0.6799, 0.5000, 0.1799], [0.9974, 0.6749, 0.3225]]}

---

{"formula": "Ca2HgAu6", "functional": "PBE-GGA", "state": "relaxed", "ef_mev_per_atom": -455, "n_ef_per_ev_cell": 3.81, "sg": "P-3m1, No. 164", "energy_ev_per_cell": -28.1, "lattice": [[6.2411, 0.0000, 0.0000], [-3.1206, 5.4050, 0.0000], [0.0000, 0.0000, 5.9254]], "species": ["Ca", "Ca", "Hg", "Au", "Au", "Au", "Au", "Au", "Au"], "frac_coords": [[0.3333, 0.6667, 0.3304], [0.6667, 0.3333, 0.6696], [0.0000, 0.0000, 0.5000], [0.1840, 0.3680, 0.8281], [0.1840, 0.8160, 0.8281], [0.3680, 0.1840, 0.1719], [0.6320, 0.8160, 0.8281], [0.8160, 0.1840, 0.1719], [0.8160, 0.6320, 0.1719]]}

---

{"formula": "Ca2HgAu4", "functional": "PBE-GGA", "state": "relaxed", "ef_mev_per_atom": -528, "n_ef_per_ev_cell": 3.63, "sg": "I4/mmm, No. 139", "energy_ev_per_cell": -21.1, "lattice": [[-2.1112, 2.1112, 9.4319], [2.1112, -2.1112, 9.4319], [2.1112, 2.1112, -9.4319]], "species": ["Ca", "Ca", "Hg", "Au", "Au", "Au", "Au"], "frac_coords": [[0.1157, 0.1157, 0.0000], [0.8843, 0.8843, 0.0000], [0.5000, 0.5000, 0.0000], [0.2500, 0.7500, 0.5000], [0.3546, 0.3546, 0.0000], [0.6454, 0.6454, 0.0000], [0.7500, 0.2500, 0.5000]]}